[1]
AlZn2Au after structural relaxation, computed with PBE.

It has space group Pm (No. 6), with a = 2.983 Å, b = 4.627 Å, c = 4.723 Å, α = 90.00°, β = 93.77° and γ = 90.00°. Symmetry generates all atoms from Al at (0.000, 0.000, 0.000), Zn at (0.462, 0.500, 0.197), Zn at (0.518, 0.000, 0.488) and Au at (0.940, 0.500, 0.707).

As for the theoretical density: 9.058 g/cm³. For the total energy, the calculation gives -2.503 eV/atom. The energy of formation comes out at -0.11 eV/atom.

[2]
Al2Zn3Au8 after structural relaxation, computed with PBE.

It has space group Cmmm (No. 65), with a = 7.410 Å, b = 13.701 Å, c = 4.558 Å, α = 90.00°, β = 90.00° and γ = 90.00°. Symmetry generates all atoms from Al at (0.000, 0.224, 0.000), Zn at (0.000, 0.000, 0.000), Zn at (0.188, 0.500, 0.500), Au at (0.000, 0.116, 0.500), Au at (0.000, 0.324, 0.500) and Au at (0.208, 0.388, 0.000).

As for the theoretical density: 13.105 g/cm³. For the total energy, the calculation gives -3.105 eV/atom. The energy of formation comes out at -0.22 eV/atom.

[3]
AlZn2Au after structural relaxation, computed with PBE.

It has space group P4mm (No. 99), with a = 2.932 Å, b = 2.932 Å, c = 7.537 Å, α = 90.00°, β = 90.00° and γ = 90.00°. Symmetry generates all atoms from Al at (0.000, 0.000, 0.000), Zn at (0.000, 0.000, 0.507), Zn at (0.500, 0.500, 0.750) and Au at (0.500, 0.500, 0.245).

As for the theoretical density: 9.092 g/cm³. For the total energy, the calculation gives -2.467 eV/atom. The energy of formation comes out at -0.08 eV/atom.

[4]
AlZn6Au8 after structural relaxation, computed with PBE.

It has space group R-3 (No. 148, hexagonal axes), with a = 7.1792 Å, b = 7.1792 Å, c = 17.4229 Å, α = 90.00°, β = 90.00° and γ = 120.00°. Symmetry generates all atoms from Al at (0.0000, 0.0000, 0.0000), Zn at (0.0316, 0.2538, 0.2709), Au at (0.0000, 0.0000, 0.3866) and Au at (0.0355, 0.2598, 0.1162).

As for the theoretical density: 12.781 g/cm³. For the total energy, the calculation gives -2.677 eV/atom. The energy of formation comes out at -0.17 eV/atom.

[5]
AlZn2Au after structural relaxation, computed with PBE.

It has space group P4/mmm (No. 123), with a = 2.845 Å, b = 2.845 Å, c = 7.967 Å, α = 90.00°, β = 90.00° and γ = 90.00°. Symmetry generates all atoms from Al at (0.000, 0.000, 0.000), Zn at (0.500, 0.500, 0.245) and Au at (0.000, 0.000, 0.500).

As for the theoretical density: 9.134 g/cm³. For the total energy, the calculation gives -2.461 eV/atom. The energy of formation comes out at -0.07 eV/atom.

[6]
AlZn6Au10 after structural relaxation, computed with PBE.

It has space group P-31m (No. 162), with a = 7.7796 Å, b = 7.7796 Å, c = 5.5189 Å, α = 90.00°, β = 90.00° and γ = 120.00°. Symmetry generates all atoms from Al at (0.0000, 0.0000, 0.0000), Zn at (0.0000, 0.3770, 0.7881), Au at (0.0000, 0.2719, 0.2968), Au at (0.3333, 0.6667, 0.0000) and Au at (0.3333, 0.6667, 0.5000).

As for the theoretical density: 13.715 g/cm³. For the total energy, the calculation gives -2.775 eV/atom. The energy of formation comes out at -0.18 eV/atom.

[7]
AlZn8Au6 after structural relaxation, computed with PBE.

It has space group R-3 (No. 148, hexagonal axes), with a = 7.5164 Å, b = 7.5164 Å, c = 16.4370 Å, α = 90.00°, β = 90.00° and γ = 120.00°. Symmetry generates all atoms from Al at (0.0000, 0.0000, 0.0000), Zn at (0.0000, 0.0000, 0.3330), Zn at (0.0004, 0.3361, 0.1202) and Au at (0.9998, 0.3300, 0.9448).

As for the theoretical density: 10.729 g/cm³. For the total energy, the calculation gives -2.456 eV/atom. The energy of formation comes out at -0.22 eV/atom.

[8]
Al2ZnAu7 after structural relaxation, computed with PBE.

It has space group I4/mmm (No. 139), with a = 4.234 Å, b = 4.234 Å, c = 20.380 Å, α = 90.00°, β = 90.00° and γ = 90.00°. Symmetry generates all atoms from Al at (0.000, 0.000, 0.173), Zn at (0.000, 0.000, 0.500), Au at (0.000, 0.000, 0.000), Au at (0.000, 0.500, 0.097) and Au at (0.000, 0.500, 0.250).

As for the theoretical density: 13.621 g/cm³. For the total energy, the calculation gives -3.401 eV/atom. The energy of formation comes out at -0.23 eV/atom.

[9]
Al2ZnAu after structural relaxation, computed with PBE.

It has space group P4/mmm (No. 123), with a = 4.070 Å, b = 4.070 Å, c = 3.948 Å, α = 90.00°, β = 90.00° and γ = 90.00°. Symmetry generates all atoms from Al at (0.000, 0.500, 0.000), Zn at (0.000, 0.000, 0.500) and Au at (0.500, 0.500, 0.500).

As for the theoretical density: 8.033 g/cm³. For the total energy, the calculation gives -3.128 eV/atom. The energy of formation comes out at -0.12 eV/atom.

[10]
Al2ZnAu after structural relaxation, computed with PBE.

It has space group Pm (No. 6), with a = 3.348 Å, b = 3.783 Å, c = 5.256 Å, α = 90.00°, β = 90.34° and γ = 90.00°. Symmetry generates all atoms from Al at (0.000, 0.000, 0.000), Al at (0.497, 0.500, 0.724), Zn at (0.502, 0.500, 0.221) and Au at (0.997, 0.000, 0.503).

As for the theoretical density: 7.891 g/cm³. For the total energy, the calculation gives -3.146 eV/atom. The energy of formation comes out at -0.14 eV/atom.

[11]
Al2Zn2Au5 after structural relaxation, computed with PBE.

It has space group C2/m (No. 12), with a = 13.299 Å, b = 4.454 Å, c = 5.482 Å, α = 90.00°, β = 106.16° and γ = 90.00°. Symmetry generates all atoms from Al at (0.197, 0.000, 0.293), Zn at (0.096, 0.500, 0.899), Au at (0.000, 0.000, 0.000), Au at (0.101, 0.500, 0.412) and Au at (0.194, 0.000, 0.787).

As for the theoretical density: 12.455 g/cm³. For the total energy, the calculation gives -3.189 eV/atom. The energy of formation comes out at -0.25 eV/atom. The polymorph energy (0 for the lowest one) is 0 meV/atom.

[12]
Al2ZnAu after structural relaxation, computed with PBE.

It has space group Cmmm (No. 65), with a = 5.276 Å, b = 7.426 Å, c = 3.411 Å, α = 90.00°, β = 90.00° and γ = 90.00°. Symmetry generates all atoms from Al at (0.250, 0.250, 0.000), Zn at (0.000, 0.000, 0.500) and Au at (0.000, 0.500, 0.500).

As for the theoretical density: 7.862 g/cm³. For the total energy, the calculation gives -3.129 eV/atom. The energy of formation comes out at -0.12 eV/atom.